No. 1
La2Pr2Cu PBE-GGA relaxed; size of the total moment = 0.000 μB per formula unit; raw total energy = -4.746 eV per atom
1.0
3.7149 0.0000 0.0000
0.0000 3.7149 0.0000
0.0000 0.0000 22.9789
La Pr Cu
4 4 2
Direct
0.0000 0.0000 0.0761
0.0000 0.0000 0.9239
0.5000 0.5000 0.4239
0.5000 0.5000 0.5761
0.0000 0.0000 0.3054
0.0000 0.0000 0.6946
0.5000 0.5000 0.1946
0.5000 0.5000 0.8054
0.0000 0.0000 0.5000
0.5000 0.5000 0.0000

---

No. 2
DyPu2Co9 PBE-GGA relaxed; size of the total moment = 0.345 μB per formula unit; raw total energy = -8.259 eV per atom
1.0
2.4564 1.4182 8.1536
-2.4564 1.4182 8.1536
0.0000 -2.8364 8.1536
Dy Pu Co
1 2 9
Direct
0.0000 0.0000 0.0000
0.1399 0.1399 0.1399
0.8601 0.8601 0.8601
0.0813 0.5816 0.5816
0.3333 0.3333 0.3333
0.4184 0.4184 0.9187
0.4184 0.9187 0.4184
0.5000 0.5000 0.5000
0.5816 0.0813 0.5816
0.5816 0.5816 0.0813
0.6667 0.6667 0.6667
0.9187 0.4184 0.4184

---

No. 3
AlCd2Re PBE-GGA relaxed; size of the total moment = 0.000 μB per formula unit; raw total energy = -4.184 eV per atom
1.0
10.6972 0.0000 0.0000
0.0000 2.7978 0.0000
-0.5702 0.0000 4.8011
Al Cd Re
2 4 2
Direct
0.0000 0.0000 0.0000
0.5000 0.5000 0.0000
0.2319 0.0000 0.7430
0.2681 0.5000 0.2570
0.7319 0.5000 0.7430
0.7681 0.0000 0.2570
0.0000 0.5000 0.5000
0.5000 0.0000 0.5000

---

No. 4
ZnP2Rh PBE-GGA relaxed; size of the total moment = 0.000 μB per formula unit; raw total energy = -4.945 eV per atom
1.0
3.1576 0.0000 0.0000
-1.5788 2.7345 0.0000
0.0000 0.0000 20.4169
Zn P Rh
3 6 3
Direct
0.0000 0.0000 0.0000
0.3333 0.6667 0.6667
0.6667 0.3333 0.3333
0.0000 0.0000 0.2423
0.0000 0.0000 0.5062
0.3333 0.6667 0.1729
0.3333 0.6667 0.9089
0.6667 0.3333 0.5756
0.6667 0.3333 0.8396
0.0000 0.0000 0.7622
0.3333 0.6667 0.4288
0.6667 0.3333 0.0955

---

No. 5
CeTmLuHg PBE-GGA relaxed; size of the total moment = 0.138 μB per formula unit; raw total energy = -3.779 eV per atom
1.0
7.4296 0.0000 0.0000
0.0000 7.4296 0.0000
0.0000 0.0000 7.4296
Ce Tm Lu Hg
4 4 4 4
Direct
0.0000 0.0000 0.0000
0.0000 0.5000 0.5000
0.5000 0.0000 0.5000
0.5000 0.5000 0.0000
0.2500 0.2500 0.2500
0.2500 0.7500 0.7500
0.7500 0.2500 0.7500
0.7500 0.7500 0.2500
0.2500 0.2500 0.7500
0.2500 0.7500 0.2500
0.7500 0.2500 0.2500
0.7500 0.7500 0.7500
0.0000 0.0000 0.5000
0.0000 0.5000 0.0000
0.5000 0.0000 0.0000
0.5000 0.5000 0.5000